# CeGdZn2

A geometry-optimized CeGdZn2 structure (PBE, Alexandria via LeMat-Bulk). Values from VASP.

Computed properties:
ΔE_f: -0.26 eV/atom
Excess energy over the best structure of this formula in the dataset: 0 meV/atom
Volume: 95.1 Å³/f.u.
N(E_F): 7.467 states/eV per cell

Geometry as Quantum ESPRESSO input:
```
&SYSTEM
  ibrav = 0, nat = 4, ntyp = 3
/
ATOMIC_SPECIES
Ce 140.12 Ce.upf
Zn 65.41 Zn.upf
Gd 157.25 Gd.upf
CELL_PARAMETERS angstrom
5.123 0.000 0.000
2.561 4.436 0.000
2.561 1.479 4.183
ATOMIC_POSITIONS crystal
Ce 0.000 0.000 0.000
Zn 0.750 0.750 0.750
Zn 0.250 0.250 0.250
Gd 0.500 0.500 0.500
```

# YNiHg

A geometry-optimized YNiHg structure (PBE, Alexandria via LeMat-Bulk). Values from VASP.

Computed properties:
ΔE_f: 0.19 eV/atom
Volume: 75.5 Å³/f.u.
N(E_F): 2.648 states/eV per cell

Geometry as Quantum ESPRESSO input:
```
&SYSTEM
  ibrav = 0, nat = 3, ntyp = 3
/
ATOMIC_SPECIES
Y 88.91 Y.upf
Ni 58.69 Ni.upf
Hg 200.59 Hg.upf
CELL_PARAMETERS angstrom
-2.428 -3.993 -0.811
2.296 -3.964 -1.232
0.294 -3.617 3.055
ATOMIC_POSITIONS crystal
Y 0.750 0.750 0.750
Ni 0.500 0.500 0.500
Hg 0.000 0.000 0.000
```

# EuGd2Dy

A geometry-optimized EuGd2Dy structure (PBE, Alexandria via LeMat-Bulk). Values from VASP.

Computed properties:
ΔE_f: 0.04 eV/atom
Excess energy over the best structure of this formula in the dataset: 0 meV/atom
Volume: 135.7 Å³/f.u.
N(E_F): 5.884 states/eV per cell

Geometry as Quantum ESPRESSO input:
```
&SYSTEM
  ibrav = 0, nat = 4, ntyp = 3
/
ATOMIC_SPECIES
Gd 157.25 Gd.upf
Dy 162.50 Dy.upf
Eu 151.96 Eu.upf
CELL_PARAMETERS angstrom
3.626 0.000 0.000
0.000 3.626 0.000
0.000 0.000 10.325
ATOMIC_POSITIONS crystal
Gd 0.000 0.000 0.234
Gd 0.000 0.000 0.766
Dy 0.500 0.500 0.000
Eu 0.500 0.500 0.500
```

# Li2Cu5Ni4

A geometry-optimized Li2Cu5Ni4 structure (PBE, Alexandria via LeMat-Bulk). Values from VASP.

Computed properties:
ΔE_f: 0.11 eV/atom
Excess energy over the best structure of this formula in the dataset: 28 meV/atom
Volume: 136.4 Å³/f.u.
N(E_F): 9.004 states/eV per cell

Geometry as Quantum ESPRESSO input:
```
&SYSTEM
  ibrav = 0, nat = 11, ntyp = 3
/
ATOMIC_SPECIES
Cu 63.55 Cu.upf
Ni 58.69 Ni.upf
Li 6.94 Li.upf
CELL_PARAMETERS angstrom
-2.894 0.238 3.776
-6.125 0.693 -1.733
-2.469 -4.608 1.402
ATOMIC_POSITIONS crystal
Cu 0.747 0.180 0.835
Ni 0.752 0.539 0.956
Ni 0.257 0.113 0.374
Cu 0.237 0.180 0.835
Cu 0.253 0.820 0.165
Cu 0.000 0.500 0.500
Ni 0.248 0.461 0.044
Ni 0.743 0.887 0.626
Li 0.688 0.272 0.352
Li 0.312 0.728 0.648
Cu 0.763 0.820 0.165
```

# LaIn2Ru

A geometry-optimized LaIn2Ru structure (PBE, Alexandria via LeMat-Bulk). Values from VASP.

Computed properties:
ΔE_f: 0.03 eV/atom
Volume: 108.4 Å³/f.u.
N(E_F): 1.989 states/eV per cell

Geometry as Quantum ESPRESSO input:
```
&SYSTEM
  ibrav = 0, nat = 4, ntyp = 3
/
ATOMIC_SPECIES
In 114.82 In.upf
La 138.91 La.upf
Ru 101.07 Ru.upf
CELL_PARAMETERS angstrom
8.304 0.037 0.022
7.342 3.879 0.022
7.342 1.837 3.416
ATOMIC_POSITIONS crystal
In 0.019 0.019 0.019
La 0.476 0.476 0.476
In 0.258 0.258 0.258
Ru 0.747 0.747 0.747
```

# SrY2Ho

A geometry-optimized SrY2Ho structure (PBE, Alexandria via LeMat-Bulk). Values from VASP.

Computed properties:
ΔE_f: 0.14 eV/atom
Excess energy over the best structure of this formula in the dataset: 15 meV/atom
Volume: 142.7 Å³/f.u.
N(E_F): 6.814 states/eV per cell

Geometry as Quantum ESPRESSO input:
```
&SYSTEM
  ibrav = 0, nat = 4, ntyp = 3
/
ATOMIC_SPECIES
Y 88.91 Y.upf
Sr 87.62 Sr.upf
Ho 164.93 Ho.upf
CELL_PARAMETERS angstrom
3.670 0.000 0.000
1.835 3.178 0.000
1.835 1.059 12.237
ATOMIC_POSITIONS crystal
Y 0.743 0.743 0.771
Sr 0.500 0.500 0.500
Y 0.257 0.257 0.229
Ho 0.000 0.000 0.000
```

# VNi9Sn2

A geometry-optimized VNi9Sn2 structure (PBE, Alexandria via LeMat-Bulk). Values from VASP.

Computed properties:
ΔE_f: -0.20 eV/atom
Volume: 148.8 Å³/f.u.
N(E_F): 5.293 states/eV per cell

Geometry as Quantum ESPRESSO input:
```
&SYSTEM
  ibrav = 0, nat = 12, ntyp = 3
/
ATOMIC_SPECIES
Ni 58.69 Ni.upf
Sn 118.71 Sn.upf
V 50.94 V.upf
CELL_PARAMETERS angstrom
-1.787 1.234 -2.973
-2.322 -2.849 0.214
-6.646 5.902 6.445
ATOMIC_POSITIONS crystal
Ni 0.000 0.500 0.848
Sn 0.000 0.000 0.329
Ni 0.500 0.000 0.848
Ni 0.000 0.500 0.152
Ni 0.500 0.500 0.674
Ni 0.500 0.000 0.500
Ni 0.500 0.500 0.000
V 0.000 0.000 0.000
Sn 0.000 0.000 0.671
Ni 0.500 0.000 0.152
Ni 0.000 0.500 0.500
Ni 0.500 0.500 0.326
```

# Sm2YO

A geometry-optimized Sm2YO structure (PBE, Alexandria via LeMat-Bulk). Values from VASP.

Computed properties:
Excess energy over the best structure of this formula in the dataset: 336 meV/atom
Volume: 94.1 Å³/f.u.
N(E_F): 5.254 states/eV per cell
ΔE_f (raw): -0.82 eV/atom

Geometry as Quantum ESPRESSO input:
```
&SYSTEM
  ibrav = 0, nat = 4, ntyp = 3
/
ATOMIC_SPECIES
O 16.00 O.upf
Sm 150.36 Sm.upf
Y 88.91 Y.upf
CELL_PARAMETERS angstrom
3.241 0.000 0.000
0.000 3.241 0.000
0.000 0.000 8.960
ATOMIC_POSITIONS crystal
O 0.500 0.500 0.000
Sm 0.000 0.000 0.828
Y 0.500 0.500 0.500
Sm 0.000 0.000 0.172
```

# GdUCo2

A geometry-optimized GdUCo2 structure (PBE, Alexandria via LeMat-Bulk). Values from VASP.

Computed properties:
ΔE_f: -0.11 eV/atom
Excess energy over the best structure of this formula in the dataset: 67 meV/atom
Volume: 73.2 Å³/f.u.
N(E_F): 5.952 states/eV per cell

Geometry as Quantum ESPRESSO input:
```
&SYSTEM
  ibrav = 0, nat = 4, ntyp = 3
/
ATOMIC_SPECIES
Co 58.93 Co.upf
U 238.03 U.upf
Gd 157.25 Gd.upf
CELL_PARAMETERS angstrom
3.273 0.000 0.000
0.000 3.273 0.000
0.000 0.000 6.832
ATOMIC_POSITIONS crystal
Co 0.000 0.000 0.807
Co 0.000 0.000 0.193
U 0.500 0.500 0.000
Gd 0.500 0.500 0.500
```

# Pr2TlAgSe4

A geometry-optimized Pr2TlAgSe4 structure (PBE, Alexandria via LeMat-Bulk). Values from VASP.

Computed properties:
Volume: 236.2 Å³/f.u.
ΔE_f (raw): -1.29 eV/atom

Geometry as Quantum ESPRESSO input:
```
&SYSTEM
  ibrav = 0, nat = 16, ntyp = 4
/
ATOMIC_SPECIES
Se 78.96 Se.upf
Pr 140.91 Pr.upf
Ag 107.87 Ag.upf
Tl 204.38 Tl.upf
CELL_PARAMETERS angstrom
4.322 0.000 0.000
-2.161 7.204 0.000
0.000 0.000 15.173
ATOMIC_POSITIONS crystal
Se 0.268 0.536 0.392
Se 0.000 0.000 0.000
Pr 0.632 0.264 0.067
Ag 0.160 0.319 0.250
Se 0.732 0.464 0.608
Se 0.732 0.464 0.892
Se 0.000 0.000 0.500
Ag 0.840 0.681 0.750
Se 0.449 0.897 0.750
Pr 0.368 0.736 0.567
Pr 0.632 0.264 0.433
Se 0.268 0.536 0.108
Pr 0.368 0.736 0.933
Se 0.551 0.103 0.250
Tl 0.119 0.238 0.750
Tl 0.881 0.762 0.250
```

# Ta2InCu

A geometry-optimized Ta2InCu structure (PBE, Alexandria via LeMat-Bulk). Values from VASP.

Computed properties:
ΔE_f: 0.18 eV/atom
Volume: 71.9 Å³/f.u.
N(E_F): 2.689 states/eV per cell

Geometry as Quantum ESPRESSO input:
```
&SYSTEM
  ibrav = 0, nat = 4, ntyp = 3
/
ATOMIC_SPECIES
Ta 180.95 Ta.upf
Cu 63.55 Cu.upf
In 114.82 In.upf
CELL_PARAMETERS angstrom
-1.734 -1.696 3.298
2.603 0.268 1.507
-0.312 5.403 2.613
ATOMIC_POSITIONS crystal
Ta 0.500 0.303 0.269
Cu 0.000 0.698 0.475
In 0.500 0.567 0.744
Ta 0.000 0.932 0.012
```

# Hg2TePd2

A geometry-optimized Hg2TePd2 structure (PBE, Alexandria via LeMat-Bulk). Values from VASP.

Computed properties:
Excess energy over the best structure of this formula in the dataset: 264 meV/atom
Volume: 113.9 Å³/f.u.
N(E_F): 3.523 states/eV per cell
ΔE_f (raw): 0.16 eV/atom

Geometry as Quantum ESPRESSO input:
```
&SYSTEM
  ibrav = 0, nat = 5, ntyp = 3
/
ATOMIC_SPECIES
Te 127.60 Te.upf
Hg 200.59 Hg.upf
Pd 106.42 Pd.upf
CELL_PARAMETERS angstrom
3.862 0.000 0.000
0.000 3.862 0.000
1.931 1.931 7.635
ATOMIC_POSITIONS crystal
Te 0.000 0.000 0.000
Hg 0.614 0.614 0.773
Hg 0.386 0.386 0.227
Pd 0.750 0.250 0.500
Pd 0.250 0.750 0.500
```

# PtCCl2

A geometry-optimized PtCCl2 structure (PBE, Alexandria via LeMat-Bulk). Values from VASP.

Computed properties:
Excess energy over the best structure of this formula in the dataset: 590 meV/atom
Volume: 61.8 Å³/f.u.
N(E_F): 0.800 states/eV per cell
ΔE_f (raw): 1.94 eV/atom

Geometry as Quantum ESPRESSO input:
```
&SYSTEM
  ibrav = 0, nat = 4, ntyp = 3
/
ATOMIC_SPECIES
Cl 35.45 Cl.upf
C 12.01 C.upf
Pt 195.08 Pt.upf
CELL_PARAMETERS angstrom
1.928 -3.861 1.034
2.496 -0.325 3.654
-1.452 -2.343 3.477
ATOMIC_POSITIONS crystal
Cl 0.250 0.250 0.250
C 0.000 0.000 0.000
Pt 0.500 0.500 0.500
Cl 0.750 0.750 0.750
```

# NaAc3S

A geometry-optimized NaAc3S structure (PBE, Alexandria via LeMat-Bulk). Values from VASP.

Computed properties:
Volume: 203.1 Å³/f.u.
N(E_F): 6.127 states/eV per cell
ΔE_f (raw): -0.57 eV/atom

Geometry as Quantum ESPRESSO input:
```
&SYSTEM
  ibrav = 0, nat = 5, ntyp = 3
/
ATOMIC_SPECIES
Ac 227.00 Ac.upf
S 32.06 S.upf
Na 22.99 Na.upf
CELL_PARAMETERS angstrom
5.878 0.000 0.000
0.000 5.878 0.000
0.000 0.000 5.878
ATOMIC_POSITIONS crystal
Ac 0.000 0.000 0.500
S 0.000 0.000 0.000
Ac 0.500 0.000 0.000
Ac 0.000 0.500 0.000
Na 0.500 0.500 0.500
```

# GePbI2N

A geometry-optimized GePbI2N structure (PBE, Alexandria via LeMat-Bulk). Values from VASP.

Computed properties:
Excess energy over the best structure of this formula in the dataset: 0 meV/atom
Volume: 139.6 Å³/f.u.
N(E_F): 1.813 states/eV per cell
ΔE_f (raw): 0.36 eV/atom

Geometry as Quantum ESPRESSO input:
```
&SYSTEM
  ibrav = 0, nat = 5, ntyp = 4
/
ATOMIC_SPECIES
I 126.90 I.upf
Pb 207.20 Pb.upf
Ge 72.64 Ge.upf
N 14.01 N.upf
CELL_PARAMETERS angstrom
6.186 0.000 0.000
0.000 6.186 0.000
0.000 0.000 3.647
ATOMIC_POSITIONS crystal
I 0.500 0.000 0.000
Pb 0.500 0.500 0.500
Ge 0.000 0.000 0.000
I 0.000 0.500 0.000
N 0.000 0.000 0.500
```

# La3Pm2Dy6

A geometry-optimized La3Pm2Dy6 structure (PBE, Alexandria via LeMat-Bulk). Values from VASP.

Computed properties:
ΔE_f: 0.16 eV/atom
Volume: 376.5 Å³/f.u.
N(E_F): 16.426 states/eV per cell

Geometry as Quantum ESPRESSO input:
```
&SYSTEM
  ibrav = 0, nat = 11, ntyp = 3
/
ATOMIC_SPECIES
Dy 162.50 Dy.upf
Pm 145.00 Pm.upf
La 138.91 La.upf
CELL_PARAMETERS angstrom
5.439 0.000 2.309
2.719 5.799 1.155
-0.189 0.000 11.859
ATOMIC_POSITIONS crystal
Dy 0.807 0.689 0.290
Pm 0.861 0.278 0.500
Dy 0.193 0.311 0.710
La 0.317 0.367 0.000
La 0.683 0.633 0.000
La 0.000 0.000 0.000
Dy 0.190 0.000 0.233
Pm 0.139 0.722 0.500
Dy 0.810 0.000 0.767
Dy 0.505 0.689 0.710
Dy 0.495 0.311 0.290
```

# LaCe2SeO4

A geometry-optimized LaCe2SeO4 structure (PBE, Alexandria via LeMat-Bulk). Values from VASP.

Computed properties:
Volume: 143.4 Å³/f.u.
N(E_F): 8.025 states/eV per cell
ΔE_f (raw): -3.19 eV/atom

Geometry as Quantum ESPRESSO input:
```
&SYSTEM
  ibrav = 0, nat = 8, ntyp = 4
/
ATOMIC_SPECIES
Se 78.96 Se.upf
Ce 140.12 Ce.upf
O 16.00 O.upf
La 138.91 La.upf
CELL_PARAMETERS angstrom
3.966 0.000 0.000
0.000 3.966 0.000
0.000 0.000 9.115
ATOMIC_POSITIONS crystal
Se 0.000 0.000 0.500
Ce 0.500 0.500 0.286
O 0.000 0.500 0.166
Ce 0.500 0.500 0.714
O 0.500 0.000 0.834
O 0.500 0.000 0.166
O 0.000 0.500 0.834
La 0.000 0.000 0.000
```

# Tb2Nd4SmHo2

A geometry-optimized Tb2Nd4SmHo2 structure (PBE, Alexandria via LeMat-Bulk). Values from VASP.

Computed properties:
ΔE_f: 0.02 eV/atom
Volume: 300.0 Å³/f.u.
N(E_F): 13.333 states/eV per cell

Geometry as Quantum ESPRESSO input:
```
&SYSTEM
  ibrav = 0, nat = 9, ntyp = 4
/
ATOMIC_SPECIES
Ho 164.93 Ho.upf
Nd 144.24 Nd.upf
Tb 158.93 Tb.upf
Sm 150.36 Sm.upf
CELL_PARAMETERS angstrom
5.105 0.000 0.000
-2.552 7.675 0.007
0.000 -2.558 7.655
ATOMIC_POSITIONS crystal
Ho 0.668 0.336 0.999
Nd 0.446 0.891 0.668
Nd 0.554 0.109 0.332
Nd 0.777 0.554 0.669
Tb 0.889 0.777 0.331
Tb 0.111 0.223 0.669
Nd 0.223 0.446 0.331
Ho 0.332 0.664 0.001
Sm 0.000 0.000 0.000
```

# KAsOs2

A geometry-optimized KAsOs2 structure (PBE, Alexandria via LeMat-Bulk). Values from VASP.

Computed properties:
ΔE_f: 0.88 eV/atom
Volume: 72.9 Å³/f.u.
N(E_F): 3.106 states/eV per cell

Geometry as Quantum ESPRESSO input:
```
&SYSTEM
  ibrav = 0, nat = 4, ntyp = 3
/
ATOMIC_SPECIES
K 39.10 K.upf
Os 190.23 Os.upf
As 74.92 As.upf
CELL_PARAMETERS angstrom
-7.629 2.391 -5.309
-8.972 0.571 -3.358
-8.549 3.447 -2.671
ATOMIC_POSITIONS crystal
K 0.750 0.750 0.750
Os 0.520 0.520 0.520
Os 0.980 0.980 0.980
As 0.250 0.250 0.250
```

# CsK2RbBi

A geometry-optimized CsK2RbBi structure (PBE, Alexandria via LeMat-Bulk). Values from VASP.

Computed properties:
ΔE_f: -0.18 eV/atom
Excess energy over the best structure of this formula in the dataset: 0 meV/atom
Volume: 364.3 Å³/f.u.
N(E_F): 3.807 states/eV per cell

Geometry as Quantum ESPRESSO input:
```
&SYSTEM
  ibrav = 0, nat = 5, ntyp = 4
/
ATOMIC_SPECIES
Cs 132.91 Cs.upf
Bi 208.98 Bi.upf
K 39.10 K.upf
Rb 85.47 Rb.upf
CELL_PARAMETERS angstrom
-0.618 -2.441 -6.572
6.149 -3.357 0.668
-3.519 -5.940 2.538
ATOMIC_POSITIONS crystal
Cs 0.500 0.500 0.500
Bi 0.000 0.000 0.000
K 0.000 0.500 0.000
Rb 0.000 0.000 0.500
K 0.500 0.000 0.000
```

# PmSmHo4

A geometry-optimized PmSmHo4 structure (PBE, Alexandria via LeMat-Bulk). Values from VASP.

Computed properties:
ΔE_f: 0.02 eV/atom
Excess energy over the best structure of this formula in the dataset: 0 meV/atom
Volume: 191.7 Å³/f.u.
N(E_F): 8.088 states/eV per cell

Geometry as Quantum ESPRESSO input:
```
&SYSTEM
  ibrav = 0, nat = 6, ntyp = 3
/
ATOMIC_SPECIES
Sm 150.36 Sm.upf
Ho 164.93 Ho.upf
Pm 145.00 Pm.upf
CELL_PARAMETERS angstrom
5.020 -0.009 -0.004
-2.511 5.500 -5.191
0.013 -3.859 10.595
ATOMIC_POSITIONS crystal
Sm 0.500 0.000 0.500
Ho 0.667 0.333 0.999
Ho 0.834 0.668 0.501
Pm 0.000 0.000 0.000
Ho 0.166 0.332 0.499
Ho 0.333 0.667 0.001
```

# LiErScSn

A geometry-optimized LiErScSn structure (PBE, Alexandria via LeMat-Bulk). Values from VASP.

Computed properties:
ΔE_f: -0.39 eV/atom
Volume: 90.9 Å³/f.u.
N(E_F): 3.367 states/eV per cell

Geometry as Quantum ESPRESSO input:
```
&SYSTEM
  ibrav = 0, nat = 4, ntyp = 4
/
ATOMIC_SPECIES
Li 6.94 Li.upf
Sn 118.71 Sn.upf
Sc 44.96 Sc.upf
Er 167.26 Er.upf
CELL_PARAMETERS angstrom
-3.625 -0.756 3.430
1.208 -0.548 4.870
-1.142 3.637 3.308
ATOMIC_POSITIONS crystal
Li 0.750 0.750 0.750
Sn 0.250 0.250 0.250
Sc 0.500 0.500 0.500
Er 0.000 0.000 0.000
```